VASP calculation (GGA-PBEsol) on SrAlBr2 after structural relaxation.

Lattice parameters (Å, degrees): 3.9609 4.6453 12.6061 90.00 90.00 90.00
Last column: nearest neighbours and their distance in Å.
Space group Imm2 (No. 44)
Unique sites:
1 Sr 0.0000 0.0000 0.0000  6 Br 3.08-3.12
2 Al 0.0000 0.5000 0.7640  4 Br 3.11
3 Br 0.0000 0.0000 0.5506  4 Sr 3.12
4 Br 0.0000 0.5000 0.3125  2 Sr 3.08, 4 Al 3.11

Final energy: -26.62 eV for the cell shown
Formation energy without anion corrections: -0.910 eV/atom
Distance to the lowest polymorph of the same formula: 0.018 eV/atom

---

VASP calculation (GGA-PBEsol) on SrAlBr2 after structural relaxation.

Lattice parameters (Å, degrees): 5.2415 5.2415 19.1351 90.00 90.00 90.00
Last column: nearest neighbours and their distance in Å.
Space group I-42d (No. 122)
Unique sites:
1 Sr 0.0000 0.0000 0.0000  4 Br 3.03
2 Al 0.0000 0.0000 0.5000  4 Br 3.02
3 Br 0.2472 0.2500 0.6250  2 Al 3.02, 2 Sr 3.03

Final energy: -51.22 eV for the cell shown
Formation energy without anion corrections: -0.783 eV/atom
Distance to the lowest polymorph of the same formula: 0.144 eV/atom

---

VASP calculation (GGA-PBEsol) on TaAl2Br after structural relaxation.

Lattice parameters (Å, degrees): 10.2769 2.9721 4.6967 90.00 96.94 90.00
Last column: nearest neighbours and their distance in Å.
Space group C2/m (No. 12)
Unique sites:
1 Ta 0.0000 0.0000 0.0000  4 Br 2.78, 6 Al 2.92-3.08, 2 Ta 2.97
2 Al 0.2331 0.5000 0.2348  6 Al 2.72-2.97, 1 Br 2.83, 2 Ta 2.92
3 Br 0.0000 0.5000 0.5000  4 Ta 2.78, 2 Al 2.83, 2 Br 2.97

Final energy: -42.93 eV for the cell shown
Formation energy without anion corrections: 0.285 eV/atom
Distance to the lowest polymorph of the same formula: 0.379 eV/atom

---

VASP calculation (GGA-PBEsol) on TaAlBr2 after structural relaxation.

Lattice parameters (Å, degrees): 4.9577 4.9577 3.0860 90.00 90.00 90.00
Last column: nearest neighbours and their distance in Å.
Space group P4/mmm (No. 123)
Unique sites:
1 Ta 0.0000 0.0000 0.0000  8 Br 2.92, 2 Ta 3.09
2 Al 0.5000 0.5000 0.0000  8 Br 2.92, 2 Al 3.09
3 Br 0.0000 0.5000 0.5000  4 Al 2.92, 4 Ta 2.92, 2 Br 3.09

Final energy: -17.93 eV for the cell shown
Formation energy without anion corrections: 0.614 eV/atom
Distance to the lowest polymorph of the same formula: 0.693 eV/atom

---

VASP calculation (GGA-PBEsol) on TaAlBr2 after structural relaxation.

Lattice parameters (Å, degrees): 3.1886 3.1886 28.4443 90.00 90.00 120.00
Last column: nearest neighbours and their distance in Å.
Space group R-3m (No. 166, hexagonal axes)
Unique sites:
1 Ta 0.0000 0.0000 0.0000  6 Br 2.67
2 Al 0.0000 0.0000 0.5000  6 Al 3.19, 6 Br 3.36
3 Br 0.0000 0.0000 0.2656  3 Ta 2.67

Final energy: -61.90 eV for the cell shown
Formation energy without anion corrections: -0.063 eV/atom
Distance to the lowest polymorph of the same formula: 0.016 eV/atom

---

VASP calculation (GGA-PBEsol) on TaAl2Br after structural relaxation.

Lattice parameters (Å, degrees): 3.9810 3.9810 8.8151 90.00 90.00 90.00
Last column: nearest neighbours and their distance in Å.
Space group I4/mmm (No. 139)
Unique sites:
1 Ta 0.0000 0.0000 0.0000  4 Br 2.81, 8 Al 2.97
2 Al 0.0000 0.5000 0.2500  4 Al 2.81, 4 Ta 2.97, 4 Br 2.97
3 Br 0.0000 0.0000 0.5000  4 Ta 2.81, 8 Al 2.97

Final energy: -41.87 eV for the cell shown
Formation energy without anion corrections: 0.417 eV/atom
Distance to the lowest polymorph of the same formula: 0.512 eV/atom

---

VASP calculation (GGA-PBEsol) on TaAl2Br after structural relaxation.

Lattice parameters (Å, degrees): 2.9589 5.0625 9.9443 90.00 90.00 90.00
Last column: nearest neighbours and their distance in Å.
Space group Imm2 (No. 44)
Unique sites:
1 Ta 0.0000 0.0000 0.0000  2 Br 2.60, 2 Al 2.80
2 Al 0.0000 0.0000 0.5035  4 Ta 2.93, 4 Al 2.96, 2 Br 3.22
3 Al 0.0000 0.5000 0.2608  2 Ta 2.80, 4 Al 2.96, 4 Br 2.97
4 Br 0.0000 0.5000 0.7154  2 Ta 2.60

Final energy: -43.75 eV for the cell shown
Formation energy without anion corrections: 0.182 eV/atom
Distance to the lowest polymorph of the same formula: 0.277 eV/atom

---

VASP calculation (GGA-PBEsol) on TaAl2Br after structural relaxation.

Lattice parameters (Å, degrees): 7.4526 7.4526 5.5097 90.00 90.00 90.00
Last column: nearest neighbours and their distance in Å.
Space group I-42d (No. 122)
Unique sites:
1 Ta 0.0000 0.0000 0.0000  4 Al 2.70, 2 Br 2.75
2 Al 0.2455 0.7500 0.1250  2 Ta 2.70, 2 Br 2.75, 2 Al 2.76
3 Br 0.0000 0.0000 0.5000  4 Al 2.75, 2 Ta 2.75

Final energy: -79.69 eV for the cell shown
Formation energy without anion corrections: 0.670 eV/atom
Distance to the lowest polymorph of the same formula: 0.765 eV/atom

---

VASP calculation (GGA-PBEsol) on TaAl2Br after structural relaxation.

Lattice parameters (Å, degrees): 4.9748 4.9748 2.9593 90.00 90.00 90.00
Last column: nearest neighbours and their distance in Å.
Space group P4/mmm (No. 123)
Unique sites:
1 Ta 0.0000 0.0000 0.0000  8 Al 2.89, 2 Ta 2.96
2 Al 0.0000 0.5000 0.5000  4 Ta 2.89, 4 Br 2.89, 2 Al 2.96
3 Br 0.5000 0.5000 0.0000  8 Al 2.89, 2 Br 2.96

Final energy: -21.86 eV for the cell shown
Formation energy without anion corrections: 0.186 eV/atom
Distance to the lowest polymorph of the same formula: 0.281 eV/atom

---

VASP calculation (GGA-PBEsol) on TaAlBr2 after structural relaxation.

Lattice parameters (Å, degrees): 6.1023 8.2509 3.1190 90.00 90.00 90.00
Last column: nearest neighbours and their distance in Å.
Space group Cmmm (No. 65)
Unique sites:
1 Ta 0.0000 0.0000 0.0000  8 Br 3.00, 2 Al 3.05, 2 Ta 3.12
2 Al 0.0000 0.5000 0.0000  8 Br 3.00, 2 Ta 3.05, 2 Al 3.12
3 Br 0.2500 0.2500 0.5000  4 Ta 3.00, 4 Al 3.00, 4 Br 3.05-3.12

Final energy: -35.91 eV for the cell shown
Formation energy without anion corrections: 0.607 eV/atom
Distance to the lowest polymorph of the same formula: 0.686 eV/atom

---

VASP calculation (GGA-PBEsol) on TaAlBr2 after structural relaxation.

Lattice parameters (Å, degrees): 3.1584 4.5985 13.6626 90.00 90.00 90.00
Last column: nearest neighbours and their distance in Å.
Space group Immm (No. 71)
Unique sites:
1 Ta 0.0000 0.0000 0.0000  4 Br 2.66, 4 Al 2.79
2 Al 0.0000 0.0000 0.5000  4 Ta 2.79
3 Br 0.0000 0.5000 0.3437  2 Ta 2.66

Final energy: -41.39 eV for the cell shown
Formation energy without anion corrections: -0.079 eV/atom
Distance to the lowest polymorph of the same formula: 0.000 eV/atom

---

VASP calculation (GGA-PBEsol) on TaAl2Br after structural relaxation.

Lattice parameters (Å, degrees): 3.0254 3.0486 8.1333 90.00 90.00 90.00
Last column: nearest neighbours and their distance in Å.
Space group Pmmm (No. 47)
Unique sites:
1 Ta 0.0000 0.0000 0.0000  8 Al 2.81, 4 Ta 3.03-3.05
2 Al 0.5000 0.5000 0.2232  2 Br 2.71, 4 Ta 2.81, 2 Al 3.03
3 Br 0.0000 0.5000 0.5000  4 Al 2.71, 2 Br 3.03

Final energy: -22.98 eV for the cell shown
Formation energy without anion corrections: -0.095 eV/atom
Distance to the lowest polymorph of the same formula: 0.000 eV/atom